1.
KRbF2: optimized geometry, PBEsol.

abc: 6.0667 6.0667 11.6608
angles: 90.00 90.00 90.00
Space group I-42d (No. 122)
One atom of each set of equivalent atoms:
1 K 0.0000 0.0000 0.0000
2 Rb 0.0000 0.0000 0.5000
3 F 0.2331 0.2500 0.1250

## Properties
calculated total energy: -0.1514 hartree per atom
energy relative to the elements, uncorrected: -1009 kJ/mol of formula units
calculated density: 2.52 g cm⁻³

***

2.
Y2ScSb: optimized geometry, PBEsol.

abc: 6.5475 9.2171 3.3797
angles: 90.00 90.00 90.00
Space group Cmmm (No. 65)
One atom of each set of equivalent atoms:
1 Y 0.2500 0.2500 0.0000
2 Sc 0.0000 0.0000 0.5000
3 Sb 0.0000 0.5000 0.5000

## Properties
calculated total energy: -0.2436 hartree per atom
energy relative to the elements, uncorrected: -165 kJ/mol of formula units
calculated density: 5.61 g cm⁻³

***

3.
CaRe2Te: optimized geometry, PBEsol.

abc: 6.6226 6.6226 6.6226
angles: 90.00 90.00 90.00
Space group F-43m (No. 216)
One atom of each set of equivalent atoms:
1 Ca 0.0000 0.0000 0.0000
2 Re 0.0000 0.0000 0.5000
3 Re 0.2500 0.2500 0.2500
4 Te 0.2500 0.2500 0.7500

## Properties
calculated total energy: -0.2686 hartree per atom
energy relative to the elements, uncorrected: 298 kJ/mol of formula units
calculated density: 12.35 g cm⁻³

***

4.
LiCd2Ag: optimized geometry, PBEsol.

abc: 2.9816 2.9816 28.4131
angles: 90.00 90.00 120.00
Space group R-3m (No. 166, hexagonal axes)
One atom of each set of equivalent atoms:
1 Li 0.0000 0.0000 0.0000
2 Cd 0.0000 0.0000 0.2508
3 Ag 0.0000 0.0000 0.5000

## Properties
DFT formation energy: -11.5 kJ/mol of atoms
calculated total energy: -0.0749 hartree per atom
polymorph energy (0 for the lowest one): 103.2 meV per atom
calculated density: 7.73 g cm⁻³